PBE LiNbCd, optimized geometry; excess energy over the best structure of this formula in the dataset = 12 meV/atom; DFT total energy = -4.2542 eV per atom; energy of formation = 0.045 eV/atom
1.0
9.029 0.000 -0.001
0.000 4.422 0.000
-0.423 0.000 2.737
Nb Li Cd
2 2 2
Direct
0.081 0.250 0.291
0.919 0.750 0.709
0.419 0.250 0.465
0.581 0.750 0.535
0.729 0.250 0.113
0.271 0.750 0.887

---

PBE La2Ce3ErP6, optimized geometry; DFT total energy = -6.9188 eV per atom; energy of formation = -1.529 eV/atom
1.0
-5.860 -3.701 1.788
4.713 -2.771 -4.619
3.735 -0.673 6.066
La Ce Er P
2 3 1 6
Direct
0.334 0.666 0.000
0.666 0.334 0.000
0.168 0.832 0.500
0.832 0.168 0.500
0.500 0.500 0.500
0.000 0.000 0.000
0.915 0.591 0.744
0.762 0.762 0.257
0.085 0.409 0.256
0.591 0.915 0.744
0.238 0.238 0.743
0.409 0.085 0.256

---

The following calculated density values (in g/cm³) correspond, in order, to the records above: 6.450 5.834.